A plane-wave DFT calculation with PBE was carried out for an optimized crystal structure of Rb2NdInTe4.

- Density of states at the Fermi level: 1.77 states/eV/f.u.
- Raw total energy: -58.9 eV for the cell shown
- ΔE_f (raw): -0.9273 eV/atom

Structure (POSCAR):
```
Rb2NdInTe4
1.0
9.583 -0.074 -0.148
-0.081 9.583 -0.148
-4.760 -4.764 6.871
Rb Nd In Te
4 2 2 8
direct
0.500 0.000 0.000
0.500 0.000 0.500
0.000 0.000 0.500
0.500 0.500 0.000
0.000 0.500 0.000
0.000 0.500 0.500
0.500 0.500 0.500
0.000 0.000 0.000
0.209 0.740 0.974
0.760 0.291 0.526
0.240 0.709 0.474
0.791 0.260 0.026
0.763 0.738 0.959
0.762 0.737 0.541
0.238 0.263 0.459
0.237 0.262 0.041
```

=====

A plane-wave DFT calculation with PBE was carried out for an optimized crystal structure of Sc2Cr2Ga.

- Energy of formation from the pure elements: -12 meV per atom
- Density of states at the Fermi level: 5.38 states/eV/f.u.
- Raw total energy: -70.0 eV for the cell shown

Structure (POSCAR):
```
Sc2Cr2Ga
1.0
6.493 0.000 0.000
0.000 6.493 0.000
0.000 0.000 4.093
Sc Cr Ga
4 4 2
direct
0.181 0.681 0.500
0.681 0.819 0.500
0.819 0.319 0.500
0.319 0.181 0.500
0.392 0.892 0.000
0.892 0.608 0.000
0.608 0.108 0.000
0.108 0.392 0.000
0.000 0.000 0.000
0.500 0.500 0.000
```

=====

A plane-wave DFT calculation with PBE was carried out for an optimized crystal structure of HfBeN.

- Density of states at the Fermi level: 0.43 states/eV/f.u.
- Raw total energy: -50.5 eV for the cell shown
- ΔE_f (raw): -1.0799 eV/atom

Structure (POSCAR):
```
HfBeN
1.0
-1.970 -2.779 -1.512
1.762 -3.023 -1.332
3.178 -6.685 3.552
Hf Be N
2 2 2
direct
0.905 0.977 0.213
0.095 0.023 0.787
0.682 0.091 0.546
0.318 0.909 0.454
0.220 0.397 0.163
0.780 0.603 0.837
```